Arrangement A

The following is a DFT calculation (PBE) of an optimized crystal structure of FeSiTc.

CIF file:
```
data_FeSiTc
_chemical_formula_sum 'Fe4 Si4 Tc4'
_cell_length_a 5.4936
_cell_length_b 5.4936
_cell_length_c 5.4936
_cell_angle_alpha 90.00
_cell_angle_beta 90.00
_cell_angle_gamma 90.00
_symmetry_space_group_name_H-M 'F -4 3 m'
_symmetry_Int_Tables_number 216
_symmetry_space_group_name_Hall 'F -4 2 3'
loop_
_atom_site_label
_atom_site_type_symbol
_atom_site_fract_x
_atom_site_fract_y
_atom_site_fract_z
Fe1 Fe 0.0000 0.0000 0.0000
Si1 Si 0.2500 0.2500 0.2500
Tc1 Tc 0.2500 0.2500 0.7500
```

Total magnetic moment (μB/cell): 0.0

---

Arrangement B

The following is a DFT calculation (PBE) of an optimized crystal structure of FeSiTc.

CIF file:
```
data_FeSiTc
_chemical_formula_sum 'Fe1 Si1 Tc1'
_cell_length_a 2.7066
_cell_length_b 2.7066
_cell_length_c 5.9883
_cell_angle_alpha 90.00
_cell_angle_beta 90.00
_cell_angle_gamma 120.00
_symmetry_space_group_name_H-M 'P 3 m 1'
_symmetry_Int_Tables_number 156
loop_
_symmetry_equiv_pos_as_xyz
'x,y,z'
'-y,x-y,z'
'-x+y,-x,z'
'-y,-x,z'
'-x+y,y,z'
'x,x-y,z'
loop_
_atom_site_label
_atom_site_type_symbol
_atom_site_fract_x
_atom_site_fract_y
_atom_site_fract_z
Fe1 Fe 0.0000 0.0000 0.0000
Si1 Si 0.6667 0.3333 0.3096
Tc1 Tc 0.3333 0.6667 0.6627
```

Total magnetic moment (μB/cell): 1.1

---

Arrangement C

The following is a DFT calculation (PBE) of an optimized crystal structure of FeSiTc.

CIF file:
```
data_FeSiTc
_chemical_formula_sum 'Fe2 Si2 Tc2'
_cell_length_a 2.8430
_cell_length_b 2.8430
_cell_length_c 9.0154
_cell_angle_alpha 90.00
_cell_angle_beta 90.00
_cell_angle_gamma 90.00
_symmetry_space_group_name_H-M 'I 4 m m'
_symmetry_Int_Tables_number 107
_symmetry_space_group_name_Hall 'I 4 -2'
loop_
_atom_site_label
_atom_site_type_symbol
_atom_site_fract_x
_atom_site_fract_y
_atom_site_fract_z
Fe1 Fe 0.0000 0.0000 0.0000
Si1 Si 0.0000 0.0000 0.6416
Tc1 Tc 0.0000 0.0000 0.3159
```

Total magnetic moment (μB/cell): 1.9

---

Of them, arrangement B has the lowest stability.

---

Arrangement A

The following is a DFT calculation (PBE) of an optimized crystal structure of Fe3SiTc.

CIF file:
```
data_Fe3SiTc
_chemical_formula_sum 'Fe3 Si1 Tc1'
_cell_length_a 4.1542
_cell_length_b 4.1542
_cell_length_c 4.1542
_cell_angle_alpha 90.00
_cell_angle_beta 90.00
_cell_angle_gamma 90.00
_symmetry_space_group_name_H-M 'P m -3 m'
_symmetry_Int_Tables_number 221
_symmetry_space_group_name_Hall '-P 4 2 3'
loop_
_atom_site_label
_atom_site_type_symbol
_atom_site_fract_x
_atom_site_fract_y
_atom_site_fract_z
Fe1 Fe 0.0000 0.0000 0.5000
Si1 Si 0.0000 0.0000 0.0000
Tc1 Tc 0.5000 0.5000 0.5000
```

Total magnetic moment (μB/cell): 7.4

---

Arrangement B

The following is a DFT calculation (PBE) of an optimized crystal structure of Fe3SiTc.

CIF file:
```
data_Fe3SiTc
_chemical_formula_sum 'Fe3 Si1 Tc1'
_cell_length_a 4.4479
_cell_length_b 4.4479
_cell_length_c 4.4479
_cell_angle_alpha 90.00
_cell_angle_beta 90.00
_cell_angle_gamma 90.00
_symmetry_space_group_name_H-M 'P m -3 m'
_symmetry_Int_Tables_number 221
_symmetry_space_group_name_Hall '-P 4 2 3'
loop_
_atom_site_label
_atom_site_type_symbol
_atom_site_fract_x
_atom_site_fract_y
_atom_site_fract_z
Fe1 Fe 0.0000 0.0000 0.5000
Si1 Si 0.5000 0.5000 0.5000
Tc1 Tc 0.0000 0.0000 0.0000
```

Total magnetic moment (μB/cell): 5.7

---

Of them, arrangement B has the lowest stability.

---

Arrangement A

The following is a DFT calculation (PBE) of an optimized crystal structure of Fe2Si2Tc.

CIF file:
```
data_Fe2Si2Tc
_chemical_formula_sum 'Fe4 Si4 Tc2'
_cell_length_a 3.4865
_cell_length_b 3.4865
_cell_length_c 10.5599
_cell_angle_alpha 90.00
_cell_angle_beta 90.00
_cell_angle_gamma 90.00
_symmetry_space_group_name_H-M 'I 4/m m m'
_symmetry_Int_Tables_number 139
_symmetry_space_group_name_Hall '-I 4 2'
loop_
_atom_site_label
_atom_site_type_symbol
_atom_site_fract_x
_atom_site_fract_y
_atom_site_fract_z
Fe1 Fe 0.0000 0.5000 0.2500
Si1 Si 0.0000 0.0000 0.1092
Tc1 Tc 0.0000 0.0000 0.5000
```

Total magnetic moment (μB/cell): 8.3

---

Arrangement B

The following is a DFT calculation (PBE) of an optimized crystal structure of Fe2Si2Tc.

CIF file:
```
data_Fe2Si2Tc
_chemical_formula_sum 'Fe4 Si4 Tc2'
_cell_length_a 6.6716
_cell_length_b 6.6716
_cell_length_c 2.6241
_cell_angle_alpha 90.00
_cell_angle_beta 90.00
_cell_angle_gamma 90.00
_symmetry_space_group_name_H-M 'P 4/m b m'
_symmetry_Int_Tables_number 127
_symmetry_space_group_name_Hall '-P 4 2ab'
loop_
_atom_site_label
_atom_site_type_symbol
_atom_site_fract_x
_atom_site_fract_y
_atom_site_fract_z
Fe1 Fe 0.1540 0.3460 0.0000
Si1 Si 0.1428 0.6428 0.5000
Tc1 Tc 0.0000 0.0000 0.5000
```

Total magnetic moment (μB/cell): 1.2

---

Of them, arrangement A has the lowest stability.

---

Arrangement A

The following is a DFT calculation (PBE) of an optimized crystal structure of Fe2SiTe.

CIF file:
```
data_Fe2SiTe
_chemical_formula_sum 'Fe2 Si1 Te1'
_cell_length_a 3.2780
_cell_length_b 3.2780
_cell_length_c 5.3992
_cell_angle_alpha 90.00
_cell_angle_beta 90.00
_cell_angle_gamma 90.00
_symmetry_space_group_name_H-M 'P 4 m m'
_symmetry_Int_Tables_number 99
loop_
_symmetry_equiv_pos_as_xyz
'x,y,z'
'-y,x,z'
'-x,-y,z'
'y,-x,z'
'-x,y,z'
'y,x,z'
'x,-y,z'
'-y,-x,z'
loop_
_atom_site_label
_atom_site_type_symbol
_atom_site_fract_x
_atom_site_fract_y
_atom_site_fract_z
Fe1 Fe 0.0000 0.0000 0.0000
Fe2 Fe 0.5000 0.5000 0.3243
Si1 Si 0.0000 0.0000 0.4279
Te1 Te 0.5000 0.5000 0.8060
```

Total magnetic moment (μB/cell): 2.0

---

Arrangement B

The following is a DFT calculation (PBE) of an optimized crystal structure of Fe2SiTe.

CIF file:
```
data_Fe2SiTe
_chemical_formula_sum 'Fe8 Si4 Te4'
_cell_length_a 6.0071
_cell_length_b 6.0071
_cell_length_c 6.0071
_cell_angle_alpha 90.00
_cell_angle_beta 90.00
_cell_angle_gamma 90.00
_symmetry_space_group_name_H-M 'F m -3 m'
_symmetry_Int_Tables_number 225
_symmetry_space_group_name_Hall '-F 4 2 3'
loop_
_atom_site_label
_atom_site_type_symbol
_atom_site_fract_x
_atom_site_fract_y
_atom_site_fract_z
Fe1 Fe 0.2500 0.2500 0.2500
Si1 Si 0.0000 0.0000 0.0000
Te1 Te 0.0000 0.0000 0.5000
```

Total magnetic moment (μB/cell): 7.1

---

Arrangement C

The following is a DFT calculation (PBE) of an optimized crystal structure of Fe2SiTe.

CIF file:
```
data_Fe2SiTe
_chemical_formula_sum 'Fe8 Si4 Te4'
_cell_length_a 4.1988
_cell_length_b 4.1988
_cell_length_c 15.8175
_cell_angle_alpha 90.00
_cell_angle_beta 90.00
_cell_angle_gamma 90.00
_symmetry_space_group_name_H-M 'I -4 2 d'
_symmetry_Int_Tables_number 122
_symmetry_space_group_name_Hall 'I -4 2bw'
loop_
_atom_site_label
_atom_site_type_symbol
_atom_site_fract_x
_atom_site_fract_y
_atom_site_fract_z
Fe1 Fe 0.1607 0.2500 0.1250
Si1 Si 0.0000 0.0000 0.0000
Te1 Te 0.0000 0.0000 0.5000
```

Total magnetic moment (μB/cell): 17.2

---

Arrangement D

The following is a DFT calculation (PBE) of an optimized crystal structure of Fe2SiTe.

CIF file:
```
data_Fe2SiTe
_chemical_formula_sum 'Fe4 Si2 Te2'
_cell_length_a 3.7717
_cell_length_b 3.7717
_cell_length_c 8.3460
_cell_angle_alpha 90.00
_cell_angle_beta 90.00
_cell_angle_gamma 90.00
_symmetry_space_group_name_H-M 'I -4 m 2'
_symmetry_Int_Tables_number 119
_symmetry_space_group_name_Hall 'I -4 -2'
loop_
_atom_site_label
_atom_site_type_symbol
_atom_site_fract_x
_atom_site_fract_y
_atom_site_fract_z
Fe1 Fe 0.0000 0.0000 0.0000
Fe2 Fe 0.0000 0.5000 0.2500
Si1 Si 0.0000 0.5000 0.7500
Te1 Te 0.0000 0.0000 0.5000
```

Total magnetic moment (μB/cell): 8.1

---

Of them, arrangement D has the lowest stability.

---

Arrangement A

The following is a DFT calculation (PBE) of an optimized crystal structure of Fe2SiTe.

CIF file:
```
data_Fe2SiTe
_chemical_formula_sum 'Fe6 Si3 Te3'
_cell_length_a 3.2456
_cell_length_b 3.2456
_cell_length_c 22.0691
_cell_angle_alpha 90.00
_cell_angle_beta 90.00
_cell_angle_gamma 120.00
_symmetry_space_group_name_H-M 'R 3 m'
_symmetry_Int_Tables_number 160
_symmetry_space_group_name_Hall 'R 3 -2"'
loop_
_atom_site_label
_atom_site_type_symbol
_atom_site_fract_x
_atom_site_fract_y
_atom_site_fract_z
Fe1 Fe 0.0000 0.0000 0.0000
Fe2 Fe 0.0000 0.0000 0.2585
Si1 Si 0.0000 0.0000 0.5283
Te1 Te 0.0000 0.0000 0.7499
```

Total magnetic moment (μB/cell): 13.4

---

Arrangement B

The following is a DFT calculation (PBE) of an optimized crystal structure of Fe2SiTe.

CIF file:
```
data_Fe2SiTe
_chemical_formula_sum 'Fe2 Si1 Te1'
_cell_length_a 3.1426
_cell_length_b 4.5474
_cell_length_c 4.6013
_cell_angle_alpha 90.00
_cell_angle_beta 109.89
_cell_angle_gamma 90.00
_symmetry_space_group_name_H-M 'P 1 m 1'
_symmetry_Int_Tables_number 6
loop_
_symmetry_equiv_pos_as_xyz
'x,y,z'
'x,-y,z'
loop_
_atom_site_label
_atom_site_type_symbol
_atom_site_fract_x
_atom_site_fract_y
_atom_site_fract_z
Fe1 Fe 0.0000 0.0000 0.0000
Fe2 Fe 0.4130 0.5000 0.8264
Si1 Si 0.1017 0.5000 0.2060
Te1 Te 0.2876 0.0000 0.5730
```

Total magnetic moment (μB/cell): 1.1

---

Of them, arrangement A has the lowest stability.

---

Arrangement A

The following is a DFT calculation (PBE) of an optimized crystal structure of Fe2SiTe.

CIF file:
```
data_Fe2SiTe
_chemical_formula_sum 'Fe6 Si3 Te3'
_cell_length_a 3.7646
_cell_length_b 3.7646
_cell_length_c 15.9358
_cell_angle_alpha 90.00
_cell_angle_beta 90.00
_cell_angle_gamma 120.00
_symmetry_space_group_name_H-M 'R -3 m'
_symmetry_Int_Tables_number 166
_symmetry_space_group_name_Hall '-R 3 2"'
loop_
_atom_site_label
_atom_site_type_symbol
_atom_site_fract_x
_atom_site_fract_y
_atom_site_fract_z
Fe1 Fe 0.0000 0.0000 0.2159
Si1 Si 0.0000 0.0000 0.5000
Te1 Te 0.0000 0.0000 0.0000
```

Total magnetic moment (μB/cell): 10.8

---

Arrangement B

The following is a DFT calculation (PBE) of an optimized crystal structure of Fe2SiTe.

CIF file:
```
data_Fe2SiTe
_chemical_formula_sum 'Fe2 Si1 Te1'
_cell_length_a 3.1032
_cell_length_b 3.1032
_cell_length_c 7.0262
_cell_angle_alpha 90.00
_cell_angle_beta 90.00
_cell_angle_gamma 90.00
_symmetry_space_group_name_H-M 'P 4 m m'
_symmetry_Int_Tables_number 99
loop_
_symmetry_equiv_pos_as_xyz
'x,y,z'
'-y,x,z'
'-x,-y,z'
'y,-x,z'
'-x,y,z'
'y,x,z'
'x,-y,z'
'-y,-x,z'
loop_
_atom_site_label
_atom_site_type_symbol
_atom_site_fract_x
_atom_site_fract_y
_atom_site_fract_z
Fe1 Fe 0.0000 0.0000 0.0000
Fe2 Fe 0.5000 0.5000 0.1936
Si1 Si 0.0000 0.0000 0.3499
Te1 Te 0.5000 0.5000 0.7728
```

Total magnetic moment (μB/cell): 4.8

---

Of them, arrangement B has the lowest stability.

---

Arrangement A

The following is a DFT calculation (PBE) of an optimized crystal structure of Fe3SiTe.

CIF file:
```
data_Fe3SiTe
_chemical_formula_sum 'Fe3 Si1 Te1'
_cell_length_a 4.3274
_cell_length_b 4.3274
_cell_length_c 4.3274
_cell_angle_alpha 90.00
_cell_angle_beta 90.00
_cell_angle_gamma 90.00
_symmetry_space_group_name_H-M 'P m -3 m'
_symmetry_Int_Tables_number 221
_symmetry_space_group_name_Hall '-P 4 2 3'
loop_
_atom_site_label
_atom_site_type_symbol
_atom_site_fract_x
_atom_site_fract_y
_atom_site_fract_z
Fe1 Fe 0.0000 0.0000 0.5000
Si1 Si 0.0000 0.0000 0.0000
Te1 Te 0.5000 0.5000 0.5000
```

Total magnetic moment (μB/cell): 6.0

---

Arrangement B

The following is a DFT calculation (PBE) of an optimized crystal structure of Fe3SiTe.

CIF file:
```
data_Fe3SiTe
_chemical_formula_sum 'Fe3 Si1 Te1'
_cell_length_a 4.6861
_cell_length_b 4.6861
_cell_length_c 4.6861
_cell_angle_alpha 90.00
_cell_angle_beta 90.00
_cell_angle_gamma 90.00
_symmetry_space_group_name_H-M 'P m -3 m'
_symmetry_Int_Tables_number 221
_symmetry_space_group_name_Hall '-P 4 2 3'
loop_
_atom_site_label
_atom_site_type_symbol
_atom_site_fract_x
_atom_site_fract_y
_atom_site_fract_z
Fe1 Fe 0.0000 0.0000 0.5000
Si1 Si 0.5000 0.5000 0.5000
Te1 Te 0.0000 0.0000 0.0000
```

Total magnetic moment (μB/cell): 6.6

---

Of them, arrangement B has the lowest stability.

---

Arrangement A

The following is a DFT calculation (PBE) of an optimized crystal structure of Th2FeSi3.

CIF file:
```
data_Th2FeSi3
_chemical_formula_sum 'Th2 Fe1 Si3'
_cell_length_a 4.1056
_cell_length_b 4.1459
_cell_length_c 7.0172
_cell_angle_alpha 90.00
_cell_angle_beta 90.00
_cell_angle_gamma 90.00
_symmetry_space_group_name_H-M 'P m m 2'
_symmetry_Int_Tables_number 25
loop_
_symmetry_equiv_pos_as_xyz
'x,y,z'
'-x,-y,z'
'-x,y,z'
'x,-y,z'
loop_
_atom_site_label
_atom_site_type_symbol
_atom_site_fract_x
_atom_site_fract_y
_atom_site_fract_z
Th1 Th 0.0000 0.0000 0.0000
Th2 Th 0.0000 0.5000 0.4847
Fe1 Fe 0.5000 0.0000 0.3145
Si1 Si 0.5000 0.0000 0.6413
Si2 Si 0.5000 0.5000 0.1669
Si3 Si 0.5000 0.5000 0.8223
```

Total magnetic moment (μB/cell): 0.8

---

Arrangement B

The following is a DFT calculation (PBE) of an optimized crystal structure of Th2FeSi3.

CIF file:
```
data_Th2FeSi3
_chemical_formula_sum 'Th16 Fe8 Si24'
_cell_length_a 8.1598
_cell_length_b 8.3677
_cell_length_c 13.9779
_cell_angle_alpha 90.00
_cell_angle_beta 90.00
_cell_angle_gamma 90.00
_symmetry_space_group_name_H-M 'F m m m'
_symmetry_Int_Tables_number 69
_symmetry_space_group_name_Hall '-F 2 2'
loop_
_atom_site_label
_atom_site_type_symbol
_atom_site_fract_x
_atom_site_fract_y
_atom_site_fract_z
Th1 Th 0.0000 0.2428 0.0000
Th2 Th 0.2500 0.2500 0.2500
Fe1 Fe 0.0000 0.0000 0.1652
Si1 Si 0.0000 0.0000 0.3275
Si2 Si 0.2467 0.0000 0.0859
```

Total magnetic moment (μB/cell): 0.0

---

Of them, arrangement A has the lowest stability.